Compound: SmCoPO
Source: OQMD
Functional: GGA+U
Structure: optimized geometry

Cell: 4.376 4.071 6.863 Å, 90.00 90.00 90.00°
Atoms (fractional coordinates):
1 Sm 0.000 0.249 0.000
2 Sm 0.000 0.751 0.500
3 Co 0.500 0.253 0.336
4 Co 0.500 0.747 0.836
5 P 0.500 0.247 0.670
6 P 0.500 0.753 0.170
7 O 0.000 0.251 0.336
8 O 0.000 0.749 0.836

Output
Total magnetic moment (μB per cell): 3.4
ρ (Mg/m³): 7.0
SG: Pmc2_1 (26)
Total DFT energy (no corrections) (eV/atom): -6.4360